A plane-wave DFT calculation with GGA-PBE was carried out for crystalline TbZr6P9O36 at its relaxed geometry.

a b c (Å): 8.9734 8.9734 22.7929
angles (deg): 90.00 90.00 120.00
Closest atoms and distances in Å follow each position.
Sites, in units of the cell vectors:
1 Tb 0.0000 0.0000 0.0000  6 O 2.35
2 Tb 0.0000 0.0000 0.5000  6 O 2.35
3 Zr 0.0000 0.0000 0.1487  6 O 2.02-2.25
4 Zr 0.0000 0.0000 0.3513  6 O 2.02-2.25
5 Zr 0.0000 0.0000 0.6487  6 O 2.02-2.25
6 Zr 0.0000 0.0000 0.8513  6 O 2.02-2.25
7 Zr 0.3333 0.6667 0.0315  6 O 2.08-2.12
8 Zr 0.3333 0.6667 0.3124  6 O 2.08-2.11
9 Zr 0.3333 0.6667 0.5315  6 O 2.08-2.12
10 Zr 0.3333 0.6667 0.8124  6 O 2.08-2.11
11 Zr 0.6667 0.3333 0.1876  6 O 2.08-2.11
12 Zr 0.6667 0.3333 0.4685  6 O 2.08-2.12
13 Zr 0.6667 0.3333 0.6876  6 O 2.08-2.11
14 Zr 0.6667 0.3333 0.9685  6 O 2.08-2.12
15 P 0.0000 0.2915 0.2500  4 O 1.52-1.56
16 P 0.0000 0.7085 0.7500  4 O 1.52-1.56
17 P 0.0547 0.3748 0.9216  4 O 1.53-1.59
18 P 0.0547 0.6799 0.4216  4 O 1.53-1.59
19 P 0.2915 0.0000 0.2500  4 O 1.52-1.56
20 P 0.2915 0.2915 0.7500  4 O 1.52-1.56
21 P 0.3201 0.3748 0.4216  4 O 1.53-1.59
22 P 0.3201 0.9453 0.9216  4 O 1.53-1.59
23 P 0.3748 0.0547 0.5784  4 O 1.53-1.59
24 P 0.3748 0.3201 0.0784  4 O 1.53-1.59
25 P 0.6252 0.6799 0.9216  4 O 1.53-1.59
26 P 0.6252 0.9453 0.4216  4 O 1.53-1.59
27 P 0.6799 0.0547 0.0784  4 O 1.53-1.59
28 P 0.6799 0.6252 0.5784  4 O 1.53-1.59
29 P 0.7085 0.0000 0.7500  4 O 1.52-1.56
30 P 0.7085 0.7085 0.2500  4 O 1.52-1.56
31 P 0.9453 0.3201 0.5784  4 O 1.53-1.59
32 P 0.9453 0.6252 0.0784  4 O 1.53-1.59
33 O 0.0263 0.1850 0.9229  1 P 1.59
34 O 0.0263 0.8414 0.4229  1 P 1.59
35 O 0.0303 0.2038 0.1957  1 P 1.56
36 O 0.0303 0.8265 0.6957  1 P 1.56
37 O 0.1237 0.4833 0.5788  1 P 1.54
38 O 0.1237 0.6404 0.0788  1 P 1.54
39 O 0.1531 0.4660 0.8661  1 P 1.53
40 O 0.1531 0.6871 0.3661  1 P 1.53
41 O 0.1561 0.4622 0.9775  1 P 1.53
42 O 0.1561 0.6940 0.4775  1 P 1.53
43 O 0.1586 0.1850 0.4229  1 P 1.59
44 O 0.1588 0.4672 0.2595  1 P 1.52
45 O 0.1588 0.6916 0.7595  1 P 1.52
46 O 0.1586 0.9737 0.9229  1 P 1.59
47 O 0.1735 0.2038 0.6957  1 P 1.56
48 O 0.1735 0.9697 0.1957  1 P 1.56
49 O 0.1850 0.0263 0.5771  1 P 1.59
50 O 0.1850 0.1586 0.0771  1 P 1.59
51 O 0.2038 0.0303 0.3043  1 P 1.56
52 O 0.2038 0.1735 0.8043  1 P 1.56
53 O 0.3060 0.4622 0.4775  1 P 1.53
54 O 0.3060 0.8439 0.9775  1 P 1.53
55 O 0.3084 0.4672 0.7595  1 P 1.52
56 O 0.3084 0.8412 0.2595  1 P 1.52
57 O 0.3129 0.4660 0.3661  1 P 1.53
58 O 0.3129 0.8469 0.8661  1 P 1.53
59 O 0.3596 0.4833 0.0788  1 P 1.54
60 O 0.3596 0.8763 0.5788  1 P 1.54
61 O 0.4622 0.1561 0.5225  1 P 1.53
62 O 0.4622 0.3060 0.0225  1 P 1.53
63 O 0.4660 0.1531 0.6339  1 P 1.53
64 O 0.4660 0.3129 0.1339  1 P 1.53
65 O 0.4672 0.1588 0.2405  1 P 1.52
66 O 0.4672 0.3084 0.7405  1 P 1.52
67 O 0.4833 0.1237 0.9212  1 P 1.54
68 O 0.4833 0.3596 0.4212  1 P 1.54
69 O 0.5167 0.6404 0.5788  1 P 1.54
70 O 0.5167 0.8763 0.0788  1 P 1.54
71 O 0.5328 0.6916 0.2595  1 P 1.52
72 O 0.5328 0.8412 0.7595  1 P 1.52
73 O 0.5340 0.6871 0.8661  1 P 1.53
74 O 0.5340 0.8469 0.3661  1 P 1.53
75 O 0.5378 0.6940 0.9775  1 P 1.53
76 O 0.5378 0.8439 0.4775  1 P 1.53
77 O 0.6404 0.1237 0.4212  1 P 1.54
78 O 0.6404 0.5167 0.9212  1 P 1.54
79 O 0.6871 0.1531 0.1339  1 P 1.53
80 O 0.6871 0.5340 0.6339  1 P 1.53
81 O 0.6916 0.1588 0.7405  1 P 1.52
82 O 0.6916 0.5328 0.2405  1 P 1.52
83 O 0.6940 0.1561 0.0225  1 P 1.53
84 O 0.6940 0.5378 0.5225  1 P 1.53
85 O 0.7962 0.8265 0.1957  1 P 1.56
86 O 0.7962 0.9697 0.6957  1 P 1.56
87 O 0.8150 0.8414 0.9229  1 P 1.59
88 O 0.8150 0.9737 0.4229  1 P 1.59
89 O 0.8265 0.0303 0.8043  1 P 1.56
90 O 0.8265 0.7962 0.3043  1 P 1.56
91 O 0.8414 0.0263 0.0771  1 P 1.59
92 O 0.8412 0.3084 0.2405  1 P 1.52
93 O 0.8412 0.5328 0.7405  1 P 1.52
94 O 0.8414 0.8150 0.5771  1 P 1.59
95 O 0.8439 0.3060 0.5225  1 P 1.53
96 O 0.8439 0.5378 0.0225  1 P 1.53
97 O 0.8469 0.3129 0.6339  1 P 1.53
98 O 0.8469 0.5340 0.1339  1 P 1.53
99 O 0.8763 0.3596 0.9212  1 P 1.54
100 O 0.8763 0.5167 0.4212  1 P 1.54
101 O 0.9697 0.1735 0.3043  1 P 1.56
102 O 0.9697 0.7962 0.8043  1 P 1.56
103 O 0.9737 0.1586 0.5771  1 P 1.59
104 O 0.9737 0.8150 0.0771  1 P 1.59

- SG: No. 165
- Total energy: -8.203 eV/atom
- D(E_F): 0.00 states/eV/f.u.

=====

A plane-wave DFT calculation with GGA-PBE was carried out for crystalline La4HfAs5 at its relaxed geometry.

a b c (Å): 7.3663 7.3663 7.3663
angles (deg): 99.76 99.76 131.38
Closest atoms and distances in Å follow each position.
Sites, in units of the cell vectors:
1 La 0.0952 0.6996 0.7948  6 As 2.99-3.16
2 La 0.3004 0.0952 0.3956  6 As 2.99-3.16
3 La 0.6996 0.9048 0.6044  6 As 2.99-3.16
4 La 0.9048 0.3004 0.2052  6 As 2.99-3.16
5 Hf 0.4801 0.4801 0.0000  5 As 2.80-2.82
6 As 0.0149 0.0149 0.0000  1 Hf 2.82, 4 La 2.99
7 As 0.2198 0.4051 0.6263  1 Hf 2.80, 4 La 3.03-3.04
8 As 0.4051 0.7788 0.1853  1 Hf 2.80, 4 La 3.03-3.04
9 As 0.5935 0.2198 0.8147  1 Hf 2.80, 4 La 3.03-3.04
10 As 0.7788 0.5935 0.3737  1 Hf 2.80, 4 La 3.03-3.04

- Formation enthalpy at 0 K: -1413 meV per atom
- SG: No. 79
- Total energy: -6.704 eV/atom
- D(E_F): 2.38 states/eV/f.u.

=====

A plane-wave DFT calculation with GGA-PBE was carried out for crystalline Li6Tl3Au at its relaxed geometry.

a b c (Å): 8.3377 4.6682 10.0158
angles (deg): 90.00 104.60 90.00
Closest atoms and distances in Å follow each position.
Sites, in units of the cell vectors:
1 Li 0.0488 0.2500 0.4041  7 Tl 2.89-3.03, 1 Li 3.01
2 Li 0.1649 0.7500 0.1983  1 Au 2.65, 4 Tl 2.86-2.93, 2 Li 2.86
3 Li 0.2853 0.2500 0.0008  3 Au 2.77-2.80, 4 Li 2.88-3.10, 2 Tl 2.92-3.10
4 Li 0.3558 0.2500 0.2979  8 Li 2.86-3.04, 2 Au 3.17
5 Li 0.3654 0.7500 0.8250  3 Au 2.80-2.81, 4 Li 2.89-3.10, 3 Tl 3.01
6 Li 0.4486 0.2500 0.6118  1 Au 2.67, 4 Tl 2.85-2.89, 2 Li 2.86
7 Li 0.5514 0.7500 0.3882  1 Au 2.67, 4 Tl 2.85-2.89, 2 Li 2.86
8 Li 0.6346 0.2500 0.1750  3 Au 2.80-2.81, 4 Li 2.89-3.10, 3 Tl 3.01
9 Li 0.6442 0.7500 0.7021  8 Li 2.86-3.04, 2 Au 3.17
10 Li 0.7147 0.7500 0.9992  3 Au 2.77-2.80, 4 Li 2.88-3.10, 2 Tl 2.92-3.10
11 Li 0.8351 0.2500 0.8017  1 Au 2.65, 4 Tl 2.86-2.93, 2 Li 2.86
12 Li 0.9512 0.7500 0.5959  7 Tl 2.89-3.03, 1 Li 3.01
13 Tl 0.0363 0.7500 0.8982  8 Li 2.89-3.12
14 Tl 0.1512 0.2500 0.7022  8 Li 2.85-3.04
15 Tl 0.2632 0.7500 0.4930  7 Li 2.85-3.03
16 Tl 0.7368 0.2500 0.5070  7 Li 2.85-3.03
17 Tl 0.8488 0.7500 0.2978  8 Li 2.85-3.04
18 Tl 0.9637 0.2500 0.1018  8 Li 2.89-3.12
19 Au 0.4416 0.7500 0.1138  8 Li 2.65-2.81
20 Au 0.5584 0.2500 0.8862  8 Li 2.65-2.81

- Formation enthalpy at 0 K: -289 meV per atom
- SG: No. 11
- Total energy: -2.475 eV/atom
- D(E_F): 2.66 states/eV/f.u.

=====

A plane-wave DFT calculation with GGA-PBE was carried out for crystalline ZrAsPbSe2 at its relaxed geometry.

a b c (Å): 5.5155 5.5155 5.6544
angles (deg): 90.00 90.00 90.00
Closest atoms and distances in Å follow each position.
Sites, in units of the cell vectors:
1 Zr 0.0000 0.0000 0.0000  4 Se 2.76, 2 As 2.83
2 As 0.0000 0.0000 0.5000  2 Zr 2.83
3 Pb 0.5000 0.5000 0.5000  4 As 3.90, 8 Se 3.95
4 Se 0.0000 0.5000 0.0000  2 Zr 2.76
5 Se 0.5000 0.0000 0.0000  2 Zr 2.76

- SG: No. 123
- Polymorph energy (0 for the lowest one): 0.0 meV/atom
- Total energy: -5.029 eV/atom
- D(E_F): 2.62 states/eV/f.u.

=====

A plane-wave DFT calculation with GGA-PBE was carried out for crystalline SmDyZnHg at its relaxed geometry.

a b c (Å): 3.6432 3.6432 7.5033
angles (deg): 90.00 90.00 90.00
Closest atoms and distances in Å follow each position.
Sites, in units of the cell vectors:
1 Sm 0.0000 0.0000 0.0000  4 Zn 3.16, 4 Hg 3.32, 1 Dy 3.50
2 Dy 0.0000 0.0000 0.4658  4 Zn 3.07, 4 Hg 3.21
3 Zn 0.5000 0.5000 0.2428  4 Dy 3.07, 4 Sm 3.16
4 Hg 0.5000 0.5000 0.7208  4 Dy 3.21, 4 Sm 3.32, 1 Zn 3.59

- Formation enthalpy at 0 K: -407 meV per atom
- SG: No. 99
- Polymorph energy (0 for the lowest one): 0.0 meV/atom
- Total energy: -3.131 eV/atom
- D(E_F): 4.06 states/eV/f.u.

=====

A plane-wave DFT calculation with GGA-PBE was carried out for crystalline NaHgO3 at its relaxed geometry.

a b c (Å): 4.1635 4.1635 4.1635
angles (deg): 90.00 90.00 90.00
Closest atoms and distances in Å follow each position.
Sites, in units of the cell vectors:
1 Na 0.0000 0.0000 0.0000  12 O 2.94
2 Hg 0.5000 0.5000 0.5000  6 O 2.08
3 O 0.0000 0.5000 0.5000  2 Hg 2.08
4 O 0.5000 0.0000 0.5000  2 Hg 2.08
5 O 0.5000 0.5000 0.0000  2 Hg 2.08

- SG: No. 221
- Total energy: -3.251 eV/atom
- D(E_F): 5.36 states/eV/f.u.

=====

A plane-wave DFT calculation with GGA-PBE was carried out for crystalline Fe2NiRh2 at its relaxed geometry.

a b c (Å): 7.0371 7.0371 2.7971
angles (deg): 90.00 90.00 90.00
Closest atoms and distances in Å follow each position.
Sites, in units of the cell vectors:
1 Fe 0.1624 0.3376 0.0000  6 Rh 2.43-2.54
2 Fe 0.3376 0.8376 0.0000  6 Rh 2.43-2.54
3 Fe 0.6624 0.1624 0.0000  6 Rh 2.43-2.54
4 Fe 0.8376 0.6624 0.0000  6 Rh 2.43-2.54
5 Ni 0.0000 0.0000 0.5000  4 Rh 2.73, 2 Ni 2.80, 8 Fe 2.98
6 Ni 0.5000 0.5000 0.5000  4 Rh 2.73, 2 Ni 2.80, 8 Fe 2.98
7 Rh 0.1374 0.6374 0.5000  6 Fe 2.43-2.54
8 Rh 0.3626 0.1374 0.5000  6 Fe 2.43-2.54
9 Rh 0.6374 0.8626 0.5000  6 Fe 2.43-2.54
10 Rh 0.8626 0.3626 0.5000  6 Fe 2.43-2.54

- Formation enthalpy at 0 K: 228 meV per atom
- SG: No. 127
- Polymorph energy (0 for the lowest one): 161.9 meV/atom
- Total energy: -7.254 eV/atom
- D(E_F): 11.91 states/eV/f.u.

=====

A plane-wave DFT calculation with GGA-PBE was carried out for crystalline Ba2LiTc at its relaxed geometry.

a b c (Å): 5.7043 5.7043 5.7043
angles (deg): 60.00 60.00 60.00
Closest atoms and distances in Å follow each position.
Sites, in units of the cell vectors:
1 Ba 0.2500 0.2500 0.2500  4 Tc 3.49, 4 Li 3.49
2 Ba 0.7500 0.7500 0.7500  4 Li 3.49, 4 Tc 3.49
3 Li 0.0000 0.0000 0.0000  8 Ba 3.49
4 Tc 0.5000 0.5000 0.5000  8 Ba 3.49

- Formation enthalpy at 0 K: 682 meV per atom
- SG: No. 225
- Polymorph energy (0 for the lowest one): 38.4 meV/atom
- Total energy: -3.349 eV/atom
- D(E_F): 3.40 states/eV/f.u.

=====

A plane-wave DFT calculation with GGA-PBE was carried out for crystalline KB3S at its relaxed geometry.

a b c (Å): 5.0557 5.0557 5.0557
angles (deg): 90.00 90.00 90.00
Closest atoms and distances in Å follow each position.
Sites, in units of the cell vectors:
1 K 0.0000 0.0000 0.0000  6 B 2.53
2 B 0.0000 0.0000 0.5000  2 K 2.53
3 B 0.0000 0.5000 0.0000  2 K 2.53
4 B 0.5000 0.0000 0.0000  2 K 2.53
5 S 0.5000 0.5000 0.5000  12 B 3.57

- SG: No. 221
- Polymorph energy (0 for the lowest one): 1481.5 meV/atom
- Total energy: -1.678 eV/atom
- D(E_F): 3.17 states/eV/f.u.

=====

A plane-wave DFT calculation with GGA-PBE was carried out for crystalline TmVTc4 at its relaxed geometry.

a b c (Å): 5.2219 5.2219 5.2219
angles (deg): 60.00 60.00 60.00
Closest atoms and distances in Å follow each position.
Sites, in units of the cell vectors:
1 Tm 0.0000 0.0000 0.0000  12 Tc 3.06, 4 V 3.20
2 V 0.7500 0.7500 0.7500  12 Tc 3.06, 4 Tm 3.20
3 Tc 0.3754 0.3754 0.3754  6 Tc 2.60-2.62
4 Tc 0.3754 0.3754 0.8739  6 Tc 2.60-2.62
5 Tc 0.3754 0.8739 0.3754  6 Tc 2.60-2.62
6 Tc 0.8739 0.3754 0.3754  6 Tc 2.60-2.62

- Formation enthalpy at 0 K: 40 meV per atom
- SG: No. 216
- Total energy: -9.135 eV/atom
- D(E_F): 9.90 states/eV/f.u.

=====

Number 5 is which compound? SmDyZnHg